[1]
Pr3Dy12Al (PBE, optimized geometry); calculated volume = 499 Å³/f.u.; total energy = -4.59 eV per atom
1.0
4.974 0.000 0.000
0.000 4.974 0.000
0.000 0.000 20.176
Pr Dy Al
3 12 1
Direct
0.000 0.000 0.000
0.000 0.000 0.254
0.000 0.000 0.746
0.000 0.500 0.128
0.000 0.500 0.385
0.000 0.500 0.615
0.000 0.500 0.872
0.500 0.000 0.128
0.500 0.000 0.385
0.500 0.000 0.615
0.500 0.000 0.872
0.500 0.500 0.000
0.500 0.500 0.259
0.500 0.500 0.500
0.500 0.500 0.741
0.000 0.000 0.500

---

[2]
PrDy6Al2 (PBE, optimized geometry); calculated volume = 260 Å³/f.u.; total energy = -4.59 eV per atom
1.0
6.270 -1.855 0.000
6.270 1.855 0.000
-3.723 0.000 11.182
Pr Dy Al
1 6 2
Direct
0.000 0.000 0.000
0.019 0.019 0.333
0.309 0.309 0.126
0.311 0.311 0.415
0.689 0.689 0.585
0.691 0.691 0.874
0.981 0.981 0.667
0.349 0.349 0.784
0.651 0.651 0.216

---

[3]
PrDy2Al (PBE, optimized geometry); calculated volume = 112 Å³/f.u.; energy above the lowest structure with this stoichiometry = 0.30 kcal/mol of atoms; total energy = -4.61 eV per atom
1.0
5.328 0.000 0.000
0.000 3.482 6.027
0.000 -3.482 6.027
Pr Dy Al
2 4 2
Direct
0.000 0.234 0.766
0.000 0.766 0.234
0.000 0.764 0.764
0.500 0.413 0.413
0.500 0.415 0.942
0.500 0.942 0.415
0.000 0.256 0.256
0.500 0.916 0.916

---

[4]
PrDy2Al (PBE, optimized geometry); calculated volume = 115 Å³/f.u.; energy above the lowest structure with this stoichiometry = 0.00 kcal/mol of atoms; total energy = -4.62 eV per atom
1.0
3.548 0.000 0.000
0.000 3.548 0.000
0.000 0.000 9.133
Pr Dy Al
1 2 1
Direct
0.000 0.000 0.000
0.500 0.500 0.292
0.500 0.500 0.708
0.000 0.000 0.500

---

[5]
PrDy2Al (PBE, optimized geometry); calculated volume = 112 Å³/f.u.; energy above the lowest structure with this stoichiometry = 0.58 kcal/mol of atoms; total energy = -4.60 eV per atom
1.0
4.830 0.000 0.000
0.000 4.830 0.000
0.000 0.000 4.803
Pr Dy Al
1 2 1
Direct
0.000 0.000 0.000
0.000 0.500 0.500
0.500 0.000 0.500
0.500 0.500 0.000

---

[6]
PrDy3Al (PBE, optimized geometry); calculated volume = 147 Å³/f.u.; total energy = -4.60 eV per atom
1.0
9.534 -1.843 0.000
9.534 1.843 0.000
-2.167 0.000 8.394
Pr Dy Al
2 6 2
Direct
0.102 0.102 0.049
0.898 0.898 0.951
0.302 0.302 0.192
0.316 0.316 0.612
0.500 0.500 0.289
0.500 0.500 0.711
0.684 0.684 0.388
0.698 0.698 0.808
0.096 0.096 0.558
0.904 0.904 0.442

---

In eV/atom, the formation energy values for the records above are, in order, -0.01; -0.16; -0.18; -0.19; -0.17; -0.14.